Record 1
DFT (PBE) results for a relaxed structure of SrMoIr4.

Unit cell a=5.2959 b=5.2959 c=5.2959 alpha=60.00 beta=60.00 gamma=60.00
With the nearest neighbours (Å) after each atom.
Atoms (fractional coordinates):
1 Ir 0.8753 0.3749 0.3749  6 Ir 2.65
2 Ir 0.3749 0.3749 0.3749  6 Ir 2.65
3 Sr 0.0000 0.0000 0.0000  12 Ir 3.10, 4 Mo 3.24
4 Mo 0.7500 0.7500 0.7500  12 Ir 3.11, 4 Sr 3.24
5 Ir 0.3749 0.8753 0.3749  6 Ir 2.65
6 Ir 0.3749 0.3749 0.8753  6 Ir 2.65

crystal system	cubic
M_tot	0.65	μB per cell

***

Record 2
DFT (PBE) results for a relaxed structure of SrMo2Ir.

Unit cell a=6.2399 b=6.2399 c=6.2399 alpha=153.94 beta=132.07 gamma=55.36
With the nearest neighbours (Å) after each atom.
Atoms (fractional coordinates):
1 Mo 0.4569 0.4569 0.0000  2 Ir 2.69, 2 Mo 2.81
2 Ir 0.2500 0.7500 0.5000  4 Mo 2.69, 2 Ir 2.81, 4 Sr 2.90
3 Mo 0.0431 0.0431 0.0000  2 Ir 2.69, 2 Mo 2.81
4 Sr 0.7500 0.2500 0.5000  2 Sr 2.81, 4 Ir 2.90

crystal system	orthorhombic
M_tot	0.00	μB per cell
energy above the lowest structure with this stoichiometry	120	meV/atom

***

Record 3
DFT (PBE) results for a relaxed structure of SrMo2Ir.

Unit cell a=4.6358 b=4.6358 c=4.6358 alpha=60.00 beta=60.00 gamma=60.00
With the nearest neighbours (Å) after each atom.
Atoms (fractional coordinates):
1 Sr 0.0000 0.0000 0.0000  8 Mo 2.84
2 Mo 0.2500 0.2500 0.2500  4 Ir 2.84, 4 Sr 2.84
3 Mo 0.7500 0.7500 0.7500  4 Ir 2.84, 4 Sr 2.84
4 Ir 0.5000 0.5000 0.5000  8 Mo 2.84

crystal system	cubic
M_tot	0.00	μB per cell
energy above the lowest structure with this stoichiometry	470	meV/atom

***

Record 4
DFT (PBE) results for a relaxed structure of SrMoIr2.

Unit cell a=4.6965 b=4.6965 c=4.6965 alpha=60.00 beta=60.00 gamma=60.00
With the nearest neighbours (Å) after each atom.
Atoms (fractional coordinates):
1 Ir 0.7500 0.7500 0.7500  4 Sr 2.88, 4 Mo 2.88
2 Sr 0.0000 0.0000 0.0000  8 Ir 2.88
3 Ir 0.2500 0.2500 0.2500  4 Mo 2.88, 4 Sr 2.88
4 Mo 0.5000 0.5000 0.5000  8 Ir 2.88

crystal system	cubic
M_tot	0.36	μB per cell
energy above the lowest structure with this stoichiometry	542	meV/atom

***

Record 5
DFT (PBE) results for a relaxed structure of Sr2MoIr.

Unit cell a=3.4531 b=3.4531 c=9.4400 alpha=90.00 beta=90.00 gamma=90.01
With the nearest neighbours (Å) after each atom.
Atoms (fractional coordinates):
1 Sr 0.0000 0.0000 0.9309  1 Ir 3.38, 4 Sr 3.45, 4 Mo 3.47
2 Ir 0.0000 0.0000 0.5726  4 Mo 2.61
3 Mo 0.5000 0.5000 0.6696  4 Ir 2.61
4 Sr 0.5000 0.5000 0.3270  1 Mo 3.23, 4 Ir 3.37, 4 Sr 3.45

crystal system	tetragonal
M_tot	0.00	μB per cell
energy above the lowest structure with this stoichiometry	0	meV/atom

***

Record 6
DFT (PBE) results for a relaxed structure of Sr2MoIr.

Unit cell a=10.2756 b=10.2756 c=10.2756 alpha=18.32 beta=18.32 gamma=18.32
With the nearest neighbours (Å) after each atom.
Atoms (fractional coordinates):
1 Sr 0.5064 0.5064 0.5064  3 Ir 3.00, 6 Sr 3.27, 3 Mo 3.31
2 Mo 0.7500 0.7500 0.7500  6 Mo 3.27, 6 Sr 3.31
3 Ir 0.2500 0.2500 0.2500  6 Sr 3.00, 6 Ir 3.27
4 Sr 0.9936 0.9936 0.9936  3 Ir 3.00, 6 Sr 3.27, 3 Mo 3.31

crystal system	trigonal
M_tot	0.02	μB per cell
energy above the lowest structure with this stoichiometry	705	meV/atom

***

Short version: raw total energy = -7.781 -7.540 -7.191 -6.993 -5.480 -4.775 eV per atom, in the order given.